Entry 1:
Computed, not measured: an optimized crystal structure of Y2Tm3Zn3 at the PBE level of DFT.

The structure in POSCAR format:
```
Y2Tm3Zn3
1.0
-1.793 2.553 10.648
1.793 -2.553 10.648
1.793 2.553 -10.648
Y Tm Zn
2 3 3
Direct
0.228 0.228 0.000 Y
0.772 0.772 0.000 Y
0.000 0.000 0.000 Tm
0.383 0.883 0.500 Tm
0.617 0.117 0.500 Tm
0.114 0.614 0.500 Zn
0.500 0.500 0.000 Zn
0.886 0.386 0.500 Zn
```

## Properties
Energy relative to the elements: -24 kJ/mol of atoms
DOS at the Fermi energy: 8.15 states/eV per cell



Entry 2:
Computed, not measured: an optimized crystal structure of Y6TmZn2 at the PBE level of DFT.

The structure in POSCAR format:
```
Y6TmZn2
1.0
6.250 -1.811 0.000
6.250 1.811 0.000
-4.059 0.000 11.135
Y Tm Zn
6 1 2
Direct
0.028 0.028 0.323 Y
0.311 0.311 0.124 Y
0.318 0.318 0.411 Y
0.682 0.682 0.589 Y
0.689 0.689 0.876 Y
0.972 0.972 0.677 Y
0.000 0.000 0.000 Tm
0.351 0.351 0.801 Zn
0.649 0.649 0.199 Zn
```

## Properties
Energy relative to the elements: -14 kJ/mol of atoms
DOS at the Fermi energy: 10.91 states/eV per cell



Entry 3:
Computed, not measured: an optimized crystal structure of YTmZn2 at the PBE level of DFT.

The structure in POSCAR format:
```
YTmZn2
1.0
0.000 3.551 3.551
3.551 0.000 3.551
3.551 3.551 0.000
Y Tm Zn
1 1 2
Direct
0.000 0.000 0.000 Y
0.500 0.500 0.500 Tm
0.250 0.250 0.250 Zn
0.750 0.750 0.750 Zn
```

## Properties
Energy relative to the elements: -35 kJ/mol of atoms
DOS at the Fermi energy: 3.22 states/eV per cell
Energy above the most stable polymorph in this dataset: 0.0 kJ/mol of atoms



Entry 4:
Computed, not measured: an optimized crystal structure of Y9Tm4Zn11 at the PBE level of DFT.

The structure in POSCAR format:
```
Y9Tm4Zn11
1.0
7.682 -10.591 0.000
7.682 10.591 0.000
0.000 0.000 3.441
Y Tm Zn
9 4 11
Direct
0.000 0.000 0.000 Y
0.124 0.647 0.000 Y
0.295 0.474 0.000 Y
0.353 0.876 0.000 Y
0.474 0.295 0.000 Y
0.526 0.705 0.000 Y
0.647 0.124 0.000 Y
0.705 0.526 0.000 Y
0.876 0.353 0.000 Y
0.079 0.254 0.000 Tm
0.254 0.079 0.000 Tm
0.746 0.921 0.000 Tm
0.921 0.746 0.000 Tm
0.083 0.444 0.500 Zn
0.130 0.870 0.500 Zn
0.275 0.275 0.500 Zn
0.326 0.674 0.500 Zn
0.444 0.083 0.500 Zn
0.500 0.500 0.500 Zn
0.556 0.917 0.500 Zn
0.674 0.326 0.500 Zn
0.725 0.725 0.500 Zn
0.870 0.130 0.500 Zn
0.917 0.556 0.500 Zn
```

## Properties
Energy relative to the elements: -25 kJ/mol of atoms
DOS at the Fermi energy: 25.48 states/eV per cell



Entry 5:
Computed, not measured: an optimized crystal structure of Y2TmZn at the PBE level of DFT.

The structure in POSCAR format:
```
Y2TmZn
1.0
3.563 0.000 0.000
0.000 3.563 0.000
0.000 0.000 8.594
Y Tm Zn
2 1 1
Direct
0.000 0.000 0.208 Y
0.000 0.000 0.792 Y
0.500 0.500 0.500 Tm
0.500 0.500 0.000 Zn
```

## Properties
Energy relative to the elements: -15 kJ/mol of atoms
DOS at the Fermi energy: 4.39 states/eV per cell
Energy above the most stable polymorph in this dataset: 0.0 kJ/mol of atoms



Entry 6:
Computed, not measured: an optimized crystal structure of Y3TmZn8 at the PBE level of DFT.

The structure in POSCAR format:
```
Y3TmZn8
1.0
2.735 1.579 8.882
-2.735 1.579 8.882
0.000 -3.158 8.882
Y Tm Zn
3 1 8
Direct
0.000 0.000 0.000 Y
0.125 0.125 0.125 Y
0.624 0.624 0.624 Y
0.499 0.499 0.499 Tm
0.062 0.062 0.561 Zn
0.062 0.561 0.062 Zn
0.063 0.562 0.562 Zn
0.312 0.312 0.312 Zn
0.561 0.062 0.062 Zn
0.562 0.063 0.562 Zn
0.562 0.562 0.063 Zn
0.812 0.812 0.812 Zn
```

## Properties
Energy relative to the elements: -33 kJ/mol of atoms
DOS at the Fermi energy: 7.00 states/eV per cell



Entry 7:
Computed, not measured: an optimized crystal structure of Y4Tm3Zn at the PBE level of DFT.

The structure in POSCAR format:
```
Y4Tm3Zn
1.0
3.546 0.000 0.000
0.000 3.546 0.000
0.000 0.000 18.613
Y Tm Zn
4 3 1
Direct
0.000 0.000 0.096 Y
0.000 0.000 0.366 Y
0.000 0.000 0.634 Y
0.000 0.000 0.904 Y
0.500 0.500 0.233 Tm
0.500 0.500 0.500 Tm
0.500 0.500 0.767 Tm
0.500 0.500 0.000 Zn
```

## Properties
Energy relative to the elements: -6 kJ/mol of atoms
DOS at the Fermi energy: 10.92 states/eV per cell



Entry 8:
Computed, not measured: an optimized crystal structure of Y2Tm2Zn at the PBE level of DFT.

The structure in POSCAR format:
```
Y2Tm2Zn
1.0
-1.772 1.772 11.072
1.772 -1.772 11.072
1.772 1.772 -11.072
Y Tm Zn
2 2 1
Direct
0.081 0.081 0.000 Y
0.919 0.919 0.000 Y
0.304 0.304 0.000 Tm
0.696 0.696 0.000 Tm
0.500 0.500 0.000 Zn
```

## Properties
Energy relative to the elements: -12 kJ/mol of atoms
DOS at the Fermi energy: 6.83 states/eV per cell
Energy above the most stable polymorph in this dataset: 0.0 kJ/mol of atoms